No. 1
Sm3Bi2I2 | PBE-GGA | optimized geometry

## Properties
Raw formation energy in eV per atom: -0.797
Space group: P-1, No. 2

Cell and atoms, written as extended XYZ:
```
7
Lattice="4.5422 0.0000 0.0000 2.2626 7.3990 0.0000 0.0049 1.5897 7.6220" Properties=species:S:1:pos:R:3 pbc="T T T"
Sm 0.0000 0.0000 0.0000
Sm 2.2733 4.6778 5.5502
Sm 4.5364 4.3109 2.0717
Bi 2.2636 6.3455 2.9128
Bi 4.5460 2.6433 4.7092
I 2.2686 2.0638 1.0280
I 4.5410 6.9249 6.5939
```

---

No. 2
PrTlInHg | PBE-GGA | optimized geometry

## Properties
ΔH_f (0 K) in eV per atom: -0.270
Excess energy over the best structure of this formula in the dataset in meV/atom: 104
Space group: F-43m, No. 216

Cell and atoms, written as extended XYZ:
```
4
Lattice="0.0000 3.8044 3.8044 3.8044 0.0000 3.8044 3.8044 3.8044 0.0000" Properties=species:S:1:pos:R:3 pbc="T T T"
Pr 0.0000 0.0000 0.0000
Tl 1.9022 1.9022 1.9022
In 3.8044 3.8044 3.8044
Hg 5.7066 5.7066 5.7066
```

---

No. 3
AcCuAsP | PBE-GGA | optimized geometry

## Properties
ΔH_f (0 K) in eV per atom: -0.755
Space group: Imm2, No. 44

Cell and atoms, written as extended XYZ:
```
4
Lattice="-2.0929 2.1840 4.8114 2.0929 -2.1840 4.8114 2.0929 2.1840 -4.8114" Properties=species:S:1:pos:R:3 pbc="T T T"
Ac 0.0000 0.0000 0.0000
Cu 0.0000 2.1840 2.3074
As 0.0000 0.0000 3.5501
P 0.0000 0.0000 5.9565
```

---

No. 4
TaCrHg3 | PBE-GGA | optimized geometry

## Properties
ΔH_f (0 K) in eV per atom: 1.245
Excess energy over the best structure of this formula in the dataset in meV/atom: 0
Space group: Pm-3m, No. 221

Cell and atoms, written as extended XYZ:
```
5
Lattice="5.3716 0.0000 0.0000 0.0000 5.3716 0.0000 0.0000 0.0000 5.3716" Properties=species:S:1:pos:R:3 pbc="T T T"
Ta 0.0000 0.0000 0.0000
Cr 2.6858 2.6858 2.6858
Hg 0.0000 0.0000 2.6858
Hg 0.0000 2.6858 0.0000
Hg 2.6858 0.0000 0.0000
```

---

No. 5
NdEuMg4 | PBE-GGA | optimized geometry

## Properties
ΔH_f (0 K) in eV per atom: 1.158
Space group: F-43m, No. 216

Cell and atoms, written as extended XYZ:
```
6
Lattice="0.0000 5.5355 5.5355 5.5355 0.0000 5.5355 5.5355 5.5355 0.0000" Properties=species:S:1:pos:R:3 pbc="T T T"
Nd 0.0000 0.0000 0.0000
Eu 8.3032 8.3032 8.3032
Mg 6.5540 4.5169 4.5169
Mg 4.5169 6.5540 4.5169
Mg 4.5169 4.5169 6.5540
Mg 6.5540 6.5540 6.5540
```

---

No. 6
Sn8HgAu6 | PBE-GGA | optimized geometry

## Properties
ΔH_f (0 K) in eV per atom: -0.094
Space group: P-3, No. 147

Cell and atoms, written as extended XYZ:
```
15
Lattice="10.6645 0.0000 0.0000 -5.3322 9.2357 0.0000 0.0000 0.0000 4.3519" Properties=species:S:1:pos:R:3 pbc="T T T"
Sn -1.7544 3.4121 1.0804
Sn 0.0000 6.1572 3.2712
Sn -1.5000 9.0491 1.0804
Sn 2.0778 3.2255 3.2714
Sn 3.2545 6.0103 1.0804
Sn 6.8323 0.1867 3.2714
Sn 5.3323 3.0786 1.0807
Sn 7.0867 5.8236 3.2714
Hg 0.0000 0.0000 0.0000
Au -1.9599 6.2842 1.0958
Au 0.8699 4.3963 1.0958
Au 4.2422 1.4448 3.2561
Au 1.0900 7.7909 1.0958
Au 4.4624 4.8394 3.2561
Au 7.2921 2.9515 3.2561
```

---

No. 7
TiCl3 | PBE-GGA | optimized geometry

## Properties
Raw formation energy in eV per atom: -1.585
Space group: C2/c, No. 15

Cell and atoms, written as extended XYZ:
```
16
Lattice="3.0512 -5.2505 0.0000 3.0512 5.2505 0.0000 -0.2025 0.0000 13.1243" Properties=species:S:1:pos:R:3 pbc="T T T"
Ti 2.8993 5.0892 9.8432
Ti 2.8993 1.7303 9.8432
Ti 3.0005 -1.7303 3.2811
Ti 3.0005 -5.0892 3.2811
Cl 0.9252 1.5701 8.4590
Cl 1.9783 3.4096 11.2985
Cl 1.0264 -1.5701 1.8968
Cl 3.8202 3.4096 8.3880
Cl 1.9246 0.0020 4.6644
Cl 1.8234 -0.0020 11.2266
Cl 4.0765 0.0020 1.8977
Cl 3.9752 -0.0020 8.4599
Cl 2.0796 -3.4096 4.7363
Cl 4.8734 1.5701 11.2275
Cl 3.9215 -3.4096 1.8258
Cl 4.9746 -1.5701 4.6653
```

---

No. 8
KTaCd3 | PBE-GGA | optimized geometry

## Properties
ΔH_f (0 K) in eV per atom: 1.853
Excess energy over the best structure of this formula in the dataset in meV/atom: 1164
Space group: Pm-3m, No. 221

Cell and atoms, written as extended XYZ:
```
5
Lattice="5.3322 0.0000 0.0000 0.0000 5.3322 0.0000 0.0000 0.0000 5.3322" Properties=species:S:1:pos:R:3 pbc="T T T"
K 0.0000 0.0000 0.0000
Ta 2.6661 2.6661 2.6661
Cd 0.0000 0.0000 2.6661
Cd 0.0000 2.6661 0.0000
Cd 2.6661 0.0000 0.0000
```

---

no.,mass density (g/cm³),final energy (eV per cell)
1,7.28,-30.598
2,9.96,-11.267
3,7.48,-21.285
4,8.94,-16.157
5,1.93,-14.472
6,9.03,-53.397
7,2.44,-79.102
8,6.10,-6.429